[1]
Entry from Alexandria: LaSc4Fe after structural relaxation (GGA-PBE).

Cell lengths 5.989, 5.989, 5.989 Å; angles 60.00, 60.00, 60.00 degrees
Each line ends with the local moment (μB).
Sites, in units of the cell vectors:
1 Sc 0.376 0.872 0.376  -0.01
2 Sc 0.376 0.376 0.872  -0.01
3 Sc 0.376 0.376 0.376  -0.01
4 Sc 0.872 0.376 0.376  -0.01
5 La 0.000 0.000 0.000  0.02
6 Fe 0.750 0.750 0.750  -3.06

Properties
total magnetic moment: 3.1 μB/cell
space-group type: F-43m
calculated formation energy: 0.56 eV/atom
DFT total energy: -35.386 eV per cell
N(E_F): 14.10 states/eV/cell


[2]
Entry from Alexandria: NaGeRh2 after structural relaxation (GGA-PBE).

Cell lengths 3.032, 3.032, 6.981 Å; angles 90.00, 90.00, 90.00 degrees
Sites, in units of the cell vectors:
1 Rh 0.000 0.000 0.799
2 Rh 0.000 0.000 0.201
3 Na 0.500 0.500 0.500
4 Ge 0.500 0.500 0.000

Properties
total magnetic moment: 0.0 μB/cell
space-group type: P4/mmm
calculated formation energy: -0.18 eV/atom
DFT total energy: -21.364 eV per cell
N(E_F): 1.53 states/eV/cell


[3]
Entry from Alexandria: Pa3Zn4Pd2 after structural relaxation (GGA-PBE).

Cell lengths 4.568, 5.621, 8.511 Å; angles 117.17, 90.00, 113.97 degrees
Each line ends with the local moment (μB).
Sites, in units of the cell vectors:
1 Zn 0.031 0.061 0.369  0.00
2 Zn 0.732 0.464 0.061  0.00
3 Zn 0.268 0.536 0.939  0.00
4 Zn 0.969 0.939 0.631  0.00
5 Pd 0.393 0.787 0.728  0.00
6 Pd 0.607 0.213 0.272  0.00
7 Pa 0.674 0.347 0.657  0.33
8 Pa 0.000 0.000 0.000  0.27
9 Pa 0.326 0.653 0.343  0.33

Properties
total magnetic moment: 1.1 μB/cell
space-group type: C2/m
calculated formation energy: -0.33 eV/atom
DFT total energy: -46.943 eV per cell
N(E_F): 11.00 states/eV/cell


[4]
Entry from Alexandria: SrGd3 after structural relaxation (GGA-PBE).

Cell lengths 6.081, 6.093, 3.926 Å; angles 90.00, 90.00, 90.00 degrees
Each line ends with the local moment (μB).
Sites, in units of the cell vectors:
1 Sr 0.000 0.500 0.917  0.01
2 Gd 0.500 0.000 0.916  7.25
3 Gd 0.500 0.500 0.416  -7.17
4 Gd 0.000 0.000 0.417  7.34

Properties
total magnetic moment: 7.9 μB/cell
space-group type: Pmmm
calculated formation energy: 0.21 eV/atom
DFT total energy: -43.081 eV per cell
N(E_F): 9.54 states/eV/cell